Computed, not measured: K3ReMoO8 after structural relaxation at the GGA+U level of DFT.

CIF file:
```
data_K3ReMoO8
_cell_length_a 6.2227
_cell_length_b 6.2227
_cell_length_c 21.5139
_cell_angle_alpha 90.00
_cell_angle_beta 90.00
_cell_angle_gamma 120.00
_symmetry_space_group_name_H-M 'R 3 m'
_symmetry_Int_Tables_number 160
_symmetry_space_group_name_Hall 'R 3 -2"'
loop_
_atom_site_label
_atom_site_type_symbol
_atom_site_fract_x
_atom_site_fract_y
_atom_site_fract_z
K1 K 0.0000 0.0000 0.0000
K2 K 0.0000 0.0000 0.1844
K3 K 0.0000 0.0000 0.3912
Re1 Re 0.0000 0.0000 0.5962
Mo1 Mo 0.0000 0.0000 0.7886
O1 O 0.0000 0.0000 0.5149
O2 O 0.0000 0.0000 0.8722
O3 O 0.0194 0.5097 0.4264
O4 O 0.1792 0.3584 0.2895
```

**Total DFT energy (no corrections)**: -260.91 eV per cell
**Fermi-level density of states**: 0.000 states/eV/f.u.